(1)
First-principles (PBE-GGA) data for a relaxed structure of ZrRe2AgC, as listed in Alexandria.

Magnetic moment (μB/f.u.): 0.0
Formation enthalpy at 0 K (eV/atom): 0.35

Unit cell a=4.160 b=4.160 c=4.406 alpha=90.00 beta=90.00 gamma=90.00
Space group P4/mmm (No. 123)
Inequivalent atoms, fractional coordinates:
Zr: 0.000 0.000 0.000
Re: 0.000 0.500 0.500
Ag: 0.500 0.500 0.000
C: 0.500 0.500 0.500

---

(2)
First-principles (PBE-GGA) data for a relaxed structure of NdPu2Rh, as listed in Alexandria.

Magnetic moment (μB/f.u.): 11.1
Energy above the lowest structure with this stoichiometry (eV per atom): 0.000
Formation enthalpy at 0 K (eV/atom): -0.13

Unit cell a=3.574 b=3.574 c=7.942 alpha=90.00 beta=90.00 gamma=90.00
Space group P4/mmm (No. 123)
Inequivalent atoms, fractional coordinates:
Nd: 0.000 0.000 0.000
Pu: 0.500 0.500 0.306
Rh: 0.000 0.000 0.500

---

(3)
First-principles (PBE-GGA) data for a relaxed structure of Nd4YEr3, as listed in Alexandria.

Magnetic moment (μB/f.u.): 0.0
Formation enthalpy at 0 K (eV/atom): 0.03

Unit cell a=5.104 b=10.211 c=10.166 alpha=90.00 beta=90.00 gamma=90.00
Space group Pmmn (No. 59, origin choice 2)
Inequivalent atoms, fractional coordinates:
Nd: 0.250 0.001 0.129
Nd: 0.250 0.250 0.872
Nd: 0.250 0.750 0.870
Y: 0.250 0.750 0.380
Er: 0.250 0.000 0.620
Er: 0.250 0.250 0.380